Material: LaBe2Cl
Method: DFT, PBE
State: relaxed

a b c (Å): 8.2331 8.2331 6.4032
angles (deg): 49.99 49.99 90.00
Closest atoms and distances in Å follow each position.
Positions (direct):
La1 0.0000 0.0000 0.0000  2 Cl 2.67
La2 0.7500 0.2500 0.5000  2 Cl 2.67
Be1 0.3750 0.3912 0.7500  2 Be 2.68, 2 Cl 2.90
Be2 0.8750 0.8588 0.7500  2 Be 2.68, 2 Cl 2.90
Be3 0.6088 0.1250 0.2500  2 Be 2.68, 2 Cl 2.90
Be4 0.1412 0.6250 0.2500  2 Be 2.68, 2 Cl 2.90
Cl1 0.2500 0.7500 0.5000  2 La 2.67, 4 Be 2.90
Cl2 0.5000 0.5000 0.0000  2 La 2.67, 4 Be 2.90

Values from the calculation:
**N(E_F)**: 3.73 states/eV/f.u.
**Energy above the lowest structure with this stoichiometry**: 2.208 eV/f.u.
**Raw total energy**: -13.1 eV/f.u.
**Energy relative to the elements, uncorrected**: 275 meV/atom
**Total moment**: 0.00 Bohr magnetons per cell
**Symmetry**: I-42d (122)